(1)
This record from Alexandria describes a relaxed structure of LiCa4Pm3S8. The functional is PBE-GGA.

Computed properties:
spin magnetization	0.000	μB per cell
raw total energy	-5.595	eV/atom
formation energy (no corrections)	-2021	meV per atom
space group	No. 166

Unit cell a=8.0112 b=8.0497 c=8.0117 alpha=119.84 beta=120.00 gamma=90.00
With the nearest neighbours (Å) after each atom.
Fractional coordinates of all 16 atoms:
S 0.7515 0.2514 0.5030  1 Li 2.82, 3 Ca 2.84-2.86, 2 Pm 2.84
S 0.2483 0.2516 0.9999  1 Li 2.82, 3 Ca 2.84-2.86, 2 Pm 2.84
Pm 0.5000 0.5000 0.5000  6 S 2.84-2.85
S 0.7510 0.7529 0.5019  3 Ca 2.83, 3 Pm 2.85
S 0.2483 0.7484 0.0001  1 Li 2.82, 3 Ca 2.84-2.86, 2 Pm 2.84
Pm 0.0000 0.5000 0.5000  6 S 2.84-2.85
S 0.2490 0.2471 0.4981  3 Ca 2.83, 3 Pm 2.85
Pm 0.5000 0.5000 0.0000  6 S 2.84-2.85
Ca 0.0000 0.0000 0.0000  6 S 2.83-2.84
Ca 0.0000 0.0000 0.5000  6 S 2.83-2.84
S 0.2485 0.7486 0.4970  1 Li 2.82, 3 Ca 2.84-2.86, 2 Pm 2.84
S 0.7517 0.7484 0.0001  1 Li 2.82, 3 Ca 2.84-2.86, 2 Pm 2.84
Ca 0.5000 0.0000 0.5000  6 S 2.83-2.84
Ca 0.5000 0.0000 0.0000  6 S 2.86
Li 0.0000 0.5000 0.0000  6 S 2.82
S 0.7517 0.2516 0.9999  1 Li 2.82, 3 Ca 2.84-2.86, 2 Pm 2.84

=====

(2)
This record from Alexandria describes a relaxed structure of LiCaPm2S4. The functional is PBE-GGA.

Computed properties:
spin magnetization	0.000	μB per cell
raw total energy	-5.631	eV/atom
formation energy (no corrections)	-1890	meV per atom
space group	No. 63

Unit cell a=3.9535 b=6.8877 c=13.9646 alpha=90.00 beta=90.00 gamma=106.68
With the nearest neighbours (Å) after each atom.
Fractional coordinates of all 16 atoms:
S 0.2757 0.5513 0.3750  1 Li 2.40
Pm 0.6308 0.2617 0.4415  6 S 2.75-2.90
Pm 0.6308 0.2617 0.0585  6 S 2.75-2.90
S 0.2757 0.5513 0.1250  1 Li 2.40
S 0.7243 0.4487 0.8750  1 Li 2.40
Pm 0.3692 0.7383 0.5585  6 S 2.75-2.90
S 0.4542 0.9083 0.7500  2 Li 2.41
Ca 0.8825 0.7650 0.2500  6 S 2.92-2.99
Li 0.1504 0.3007 0.2500  4 S 2.40-2.41
Pm 0.3692 0.7383 0.9415  6 S 2.75-2.90
Li 0.8496 0.6993 0.7500  4 S 2.40-2.41
Ca 0.1175 0.2350 0.7500  6 S 2.92-2.99
S 0.7243 0.4487 0.6250  1 Li 2.40
S 0.0000 0.0000 0.0000  4 Pm 2.75
S 0.0000 0.0000 0.5000  4 Pm 2.75
S 0.5458 0.0917 0.2500  2 Li 2.41

=====

(3)
This record from Alexandria describes a relaxed structure of Li2Ca2PmSb2. The functional is PBE-GGA.

Computed properties:
spin magnetization	0.000	μB per cell
raw total energy	-3.648	eV/atom
formation energy (no corrections)	-673	meV per atom
space group	No. 166

Unit cell a=4.7365 b=4.7365 c=9.7496 alpha=75.94 beta=75.94 gamma=60.00
With the nearest neighbours (Å) after each atom.
Fractional coordinates of all 7 atoms:
Pm 0.0000 0.0000 0.0000  6 Sb 3.35, 6 Li 3.46, 2 Ca 3.67
Li 0.5912 0.5912 0.2264  3 Sb 2.74
Ca 0.1307 0.1307 0.6078  3 Li 3.14, 3 Sb 3.24, 3 Ca 3.40
Sb 0.2647 0.2647 0.2059  3 Li 2.74
Li 0.4088 0.4088 0.7736  3 Sb 2.74
Sb 0.7353 0.7353 0.7941  3 Li 2.74
Ca 0.8693 0.8693 0.3922  3 Li 3.14, 3 Sb 3.24, 3 Ca 3.40